Density functional theory data (PBE-GGA) for a geometry-optimized Na4Ac3PuO8 structure.

a b c (Å): 7.4962 7.1451 7.4964
angles (deg): 121.64 120.00 89.99
Last column: nearest neighbours and their distance in Å.
Fractional positions:
Na 0.0000 0.0000 0.5000  6 O 2.66-2.68
Na 0.5000 0.0000 0.0000  6 O 2.78
Na 0.0000 0.0000 0.0000  6 O 2.66-2.68
Na 0.5000 0.0000 0.5000  6 O 2.66-2.68
Pu 0.0000 0.5000 0.0000  6 O 2.40
O 0.7405 0.7215 0.4810  3 Ac 2.50, 3 Na 2.68
O 0.2595 0.2785 0.5190  3 Ac 2.50, 3 Na 2.68
O 0.7691 0.2830 0.0139  1 Pu 2.40, 2 Ac 2.54, 2 Na 2.66
O 0.2448 0.2830 0.0139  1 Pu 2.40, 2 Ac 2.54, 2 Na 2.66
O 0.7552 0.7170 0.9861  1 Pu 2.40, 2 Ac 2.54, 2 Na 2.66
O 0.7691 0.2830 0.5382  1 Pu 2.40, 2 Ac 2.54, 2 Na 2.66
O 0.2309 0.7170 0.9861  1 Pu 2.40, 2 Ac 2.54, 2 Na 2.66
O 0.2309 0.7170 0.4618  1 Pu 2.40, 2 Ac 2.54, 2 Na 2.66
Ac 0.5000 0.5000 0.5000  6 O 2.50-2.54
Ac 0.5000 0.5000 0.0000  6 O 2.50-2.54
Ac 0.0000 0.5000 0.5000  6 O 2.50-2.54

=====

Density functional theory data (PBE-GGA) for a geometry-optimized Na2AcPuO6 structure.

a b c (Å): 5.8900 6.1319 8.5382
angles (deg): 90.00 89.86 90.00
Last column: nearest neighbours and their distance in Å.
Fractional positions:
O 0.8917 0.5667 0.2216  1 Pu 2.04
O 0.1530 0.2219 0.0728  1 Pu 2.03
O 0.1083 0.4333 0.7784  1 Pu 2.04
O 0.3917 0.9333 0.7216  1 Pu 2.04
O 0.7900 0.8390 0.5442  1 Pu 2.01
O 0.6083 0.0667 0.2784  1 Pu 2.04
O 0.2900 0.6610 0.0442  1 Pu 2.01
O 0.2100 0.1610 0.4558  1 Pu 2.01
O 0.3470 0.7219 0.4272  1 Pu 2.03
O 0.6530 0.2781 0.5728  1 Pu 2.03
O 0.8470 0.7781 0.9272  1 Pu 2.03
O 0.7100 0.3390 0.9558  1 Pu 2.01
Ac 0.0000 0.5000 0.5000  6 O 2.45-2.53
Ac 0.5000 0.0000 0.0000  6 O 2.45-2.53
Na 0.5006 0.5364 0.7621  4 O 2.39-2.54
Na 0.4994 0.4636 0.2379  4 O 2.39-2.54
Na 0.0006 0.9636 0.2621  4 O 2.39-2.54
Na 0.9994 0.0364 0.7379  4 O 2.39-2.54
Pu 0.5000 0.0000 0.5000  6 O 2.01-2.04
Pu 0.0000 0.5000 0.0000  6 O 2.01-2.04

=====

Density functional theory data (PBE-GGA) for a geometry-optimized NaAcPuO6 structure.

a b c (Å): 5.1858 5.7348 5.7348
angles (deg): 120.00 90.00 90.00
Last column: nearest neighbours and their distance in Å.
Fractional positions:
O 0.2842 0.7138 0.9970  1 Pu 1.98
O 0.2842 0.0030 0.7169  1 Pu 1.98
O 0.7158 0.0030 0.2862  1 Pu 1.98
O 0.7158 0.7138 0.7169  1 Pu 1.98
O 0.2842 0.2831 0.2862  1 Pu 1.98
O 0.7158 0.2831 0.9970  1 Pu 1.98
Ac 0.0000 0.3333 0.6667  6 O 2.53
Na 0.5000 0.6667 0.3333  6 O 2.36
Pu 0.5000 0.0000 0.0000  6 O 1.98

=====

Density functional theory data (PBE-GGA) for a geometry-optimized RbNaAc2O4 structure.

a b c (Å): 3.9140 6.7206 13.0776
angles (deg): 90.00 90.00 106.93
Last column: nearest neighbours and their distance in Å.
Fractional positions:
Rb 0.0799 0.1598 0.7500  2 O 2.98
Rb 0.9201 0.8402 0.2500  2 O 2.98
Na 0.1914 0.3827 0.2500  4 O 2.22-2.32
Na 0.8086 0.6173 0.7500  4 O 2.22-2.32
O 0.7507 0.5015 0.9097  1 Na 2.22, 1 Ac 2.46
O 0.5951 0.1902 0.2500  2 Na 2.32, 2 Ac 2.57
O 0.2493 0.4985 0.4097  1 Na 2.22, 1 Ac 2.46
O 0.7507 0.5015 0.5903  1 Na 2.22, 1 Ac 2.46
O 0.0000 0.0000 0.5000  4 Ac 2.70
O 0.4049 0.8098 0.7500  2 Na 2.32, 2 Ac 2.57
O 0.0000 0.0000 0.0000  4 Ac 2.70
O 0.2493 0.4985 0.0903  1 Na 2.22, 1 Ac 2.46
Ac 0.6323 0.2646 0.0569  6 O 2.46-2.70
Ac 0.3677 0.7354 0.5569  6 O 2.46-2.70
Ac 0.6323 0.2646 0.4431  6 O 2.46-2.70
Ac 0.3677 0.7354 0.9431  6 O 2.46-2.70

=====

| no. | calculated density (g/cm3) | calculated total energy (eV per cell) |
| --- | --- | --- |
| 1 | 6.87 | -111.0 |
| 2 | 6.60 | -151.2 |
| 3 | 6.63 | -71.2 |
| 4 | 6.32 | -100.6 |